12
Lattice="3.606 0.000 0.000 0.000 5.548 0.000 -1.812 0.000 20.298" Properties=species:S:1:pos:R:3 comment="PBE Nd3Y7Sc2, relaxed" ef_ev_per_atom=0.238 spacegroup="No. 10" density_g_cm3=4.68 dos_at_fermi_per_ev_fu=20.81 total_magnetization_mub_per_atom=0.011 pbc="T T T"
Nd 0.000 0.000 0.000
Nd -0.012 2.774 13.438
Nd 1.806 2.774 6.860
Y 0.003 2.774 3.585
Y -0.003 0.000 8.722
Y -0.012 0.000 17.492
Y 1.803 2.774 0.000
Y 1.806 0.000 2.806
Y 1.797 0.000 11.576
Y 1.791 2.774 16.713
Sc 0.005 0.000 5.578
Sc 1.789 0.000 14.720